{
  "formula": "SiPdO",
  "functional": "PBE",
  "state": "optimized geometry",
  "lattice_angstrom": [[2.749, 0.000, 0.000], [1.335, 5.589, 0.000], [1.217, 1.742, 5.557]],
  "species": ["Si", "Si", "Pd", "Pd", "O", "O"],
  "fractional_positions": [[0.046, 0.261, 0.150], [0.954, 0.739, 0.850], [0.196, 0.392, 0.723], [0.804, 0.608, 0.277], [0.402, 0.926, 0.764], [0.598, 0.074, 0.236]],
  "relative_energy_mev_per_atom": 0,
  "total_magnetization_mub_per_cell": 0.00,
  "e_form_raw_mev_per_atom": -1152,
  "sg": "P-1"
}